First-principles (PBE) data for a relaxed structure of ScNi2Hg, as listed in Alexandria.

```
ScNi2Hg
1.0
-3.492 3.492 2.808
3.492 -3.492 2.808
3.492 3.492 -2.808
Sc Ni Hg
2 4 2
direct
0.000 0.000 0.000
0.750 0.250 0.500
0.118 0.625 0.993
0.375 0.368 0.493
0.632 0.125 0.007
0.875 0.882 0.507
0.250 0.750 0.500
0.500 0.500 0.000
```

Calculated values
As for the space group: I-42d. The formation energy is 0.111 eV per atom. The total DFT energy (no corrections) comes out at -0.3262 Ry per atom.

First-principles (PBE) data for a relaxed structure of Dy2LuBr, as listed in Alexandria.

```
Dy2LuBr
1.0
1.810 1.045 10.166
-1.810 1.045 10.166
0.000 -2.090 10.166
Dy Lu Br
2 1 1
direct
0.244 0.244 0.244
0.756 0.756 0.756
0.000 0.000 0.000
0.500 0.500 0.500
```

Calculated values
As for the space group: R-3m. For the formation energy without anion corrections, the calculation gives -0.508 eV/atom. The total DFT energy (no corrections) comes out at -0.3203 Ry per atom.

First-principles (PBE) data for a relaxed structure of Zn2CoAgAu, as listed in Alexandria.

```
Zn2CoAgAu
1.0
4.747 0.000 0.000
0.000 4.747 0.000
0.000 0.000 5.137
Zn Co Ag Au
2 1 1 1
direct
0.000 0.500 0.000
0.500 0.000 0.000
0.000 0.000 0.500
0.500 0.500 0.000
0.500 0.500 0.500
```

Calculated values
As for the space group: P4/mmm. The formation energy is 1.044 eV per atom. The total DFT energy (no corrections) comes out at -0.1552 Ry per atom.

First-principles (PBE) data for a relaxed structure of Tl5Cu, as listed in Alexandria.

```
Tl5Cu
1.0
5.983 -1.771 0.000
5.983 1.771 0.000
-2.002 0.000 7.976
Tl Cu
5 1
direct
0.000 0.000 0.000
0.062 0.062 0.407
0.295 0.295 0.188
0.414 0.414 0.642
0.702 0.702 0.796
0.753 0.753 0.449
```

Calculated values
As for the space group: Cm. The formation energy is 0.123 eV per atom. The total DFT energy (no corrections) comes out at -0.1860 Ry per atom. The polymorph energy (0 for the lowest one) comes out at 0.45 kJ per mole of atoms.

First-principles (PBE) data for a relaxed structure of MgBe2Al, as listed in Alexandria.

```
MgBe2Al
1.0
3.677 0.000 0.000
-0.003 4.451 0.000
-1.835 -2.100 6.646
Mg Be Al
2 4 2
direct
0.154 0.400 0.309
0.846 0.600 0.691
0.035 0.787 0.072
0.500 0.000 0.000
0.500 0.500 0.000
0.965 0.213 0.928
0.329 0.083 0.657
0.671 0.917 0.343
```

Calculated values
As for the space group: P-1. The formation energy is 0.080 eV per atom. The total DFT energy (no corrections) comes out at -0.2291 Ry per atom. The polymorph energy (0 for the lowest one) comes out at 3.07 kJ per mole of atoms.

First-principles (PBE) data for a relaxed structure of Tl2SnBi3, as listed in Alexandria.

```
Tl2SnBi3
1.0
7.364 -4.324 0.000
7.364 4.324 0.000
0.000 0.000 6.779
Tl Sn Bi
4 2 6
direct
0.013 0.337 0.250
0.337 0.013 0.750
0.663 0.987 0.250
0.987 0.663 0.750
0.317 0.683 0.250
0.683 0.317 0.750
0.000 0.000 0.000
0.000 0.000 0.500
0.352 0.352 0.000
0.352 0.352 0.500
0.648 0.648 0.000
0.648 0.648 0.500
```

Calculated values
As for the space group: Cmcm. The formation energy is 0.100 eV per atom. The total DFT energy (no corrections) comes out at -0.2423 Ry per atom. The polymorph energy (0 for the lowest one) comes out at 10.78 kJ per mole of atoms.

First-principles (PBE) data for a relaxed structure of Ca3VPd, as listed in Alexandria.

```
Ca3VPd
1.0
5.610 0.000 0.000
0.000 5.610 0.000
0.000 0.000 5.610
Ca V Pd
3 1 1
direct
0.000 0.000 0.500
0.000 0.500 0.000
0.500 0.000 0.000
0.000 0.000 0.000
0.500 0.500 0.500
```

Calculated values
As for the space group: Pm-3m. The formation energy is 0.801 eV per atom. The total DFT energy (no corrections) comes out at -0.2398 Ry per atom. The polymorph energy (0 for the lowest one) comes out at 52.27 kJ per mole of atoms.

First-principles (PBE) data for a relaxed structure of Tl3Cd5, as listed in Alexandria.

```
Tl3Cd5
1.0
4.718 -4.759 0.000
4.718 4.759 0.000
0.000 0.000 4.705
Tl Cd
3 5
direct
0.000 0.000 0.000
0.260 0.260 0.500
0.740 0.740 0.500
0.000 0.500 0.000
0.251 0.749 0.500
0.500 0.000 0.000
0.500 0.500 0.000
0.749 0.251 0.500
```

Calculated values
As for the space group: Cmmm. The formation energy is 0.050 eV per atom. The total DFT energy (no corrections) comes out at -0.1036 Ry per atom. The polymorph energy (0 for the lowest one) comes out at 2.07 kJ per mole of atoms.

First-principles (PBE) data for a relaxed structure of CaPSCl2, as listed in Alexandria.

```
CaPSCl2
1.0
4.974 0.000 0.000
0.000 4.974 0.000
0.000 0.000 4.705
Ca P S Cl
1 1 1 2
direct
0.000 0.000 0.000
0.500 0.500 0.000
0.500 0.500 0.500
0.000 0.500 0.500
0.500 0.000 0.500
```

Calculated values
As for the space group: P4/mmm. For the formation energy without anion corrections, the calculation gives -0.278 eV/atom. The total DFT energy (no corrections) comes out at -0.2443 Ry per atom. The polymorph energy (0 for the lowest one) comes out at 42.28 kJ per mole of atoms.

First-principles (PBE) data for a relaxed structure of DyTiTlCd, as listed in Alexandria.

```
DyTiTlCd
1.0
0.000 3.600 3.600
3.600 0.000 3.600
3.600 3.600 0.000
Dy Ti Tl Cd
1 1 1 1
direct
0.000 0.000 0.000
0.500 0.500 0.500
0.750 0.750 0.750
0.250 0.250 0.250
```

Calculated values
As for the space group: F-43m. The formation energy is -0.053 eV per atom. The total DFT energy (no corrections) comes out at -0.2938 Ry per atom.

First-principles (PBE) data for a relaxed structure of Th2USn, as listed in Alexandria.

```
Th2USn
1.0
1.715 0.990 11.207
-1.715 0.990 11.207
0.000 -1.980 11.207
Th U Sn
2 1 1
direct
0.250 0.250 0.250
0.750 0.750 0.750
0.500 0.500 0.500
0.000 0.000 0.000
```

Calculated values
As for the space group: R-3m. The formation energy is 0.169 eV per atom. The total DFT energy (no corrections) comes out at -0.5412 Ry per atom.

First-principles (PBE) data for a relaxed structure of In2IrBr, as listed in Alexandria.

```
In2IrBr
1.0
-2.484 2.484 3.535
2.484 -2.484 3.535
2.484 2.484 -3.535
In Ir Br
2 1 1
direct
0.000 0.000 0.000
0.750 0.250 0.500
0.250 0.750 0.500
0.500 0.500 0.000
```

Calculated values
As for the space group: I-4m2. For the formation energy without anion corrections, the calculation gives 0.523 eV/atom. The total DFT energy (no corrections) comes out at -0.2558 Ry per atom. The polymorph energy (0 for the lowest one) comes out at 61.14 kJ per mole of atoms.

First-principles (PBE) data for a relaxed structure of Rb2AlTlAs2, as listed in Alexandria.

```
Rb2AlTlAs2
1.0
-3.786 7.774 3.339
3.786 -7.774 3.339
3.786 7.774 -3.339
Rb Al Tl As
4 2 2 4
direct
0.173 0.247 0.420
0.327 0.747 0.074
0.673 0.253 0.926
0.827 0.753 0.580
0.250 0.750 0.500
0.750 0.250 0.500
0.250 0.250 0.000
0.750 0.750 0.000
0.092 0.675 0.767
0.408 0.175 0.583
0.592 0.825 0.417
0.908 0.325 0.233
```

Calculated values
As for the space group: Ibam. The formation energy is -0.389 eV per atom. The total DFT energy (no corrections) comes out at -0.2410 Ry per atom.

First-principles (PBE) data for a relaxed structure of Li2Zr6MnCl15, as listed in Alexandria.

```
Li2Zr6MnCl15
1.0
-5.311 5.311 5.166
5.311 -5.311 5.166
5.311 5.311 -5.166
Li Zr Mn Cl
2 6 1 15
direct
0.250 0.750 0.500
0.750 0.250 0.500
0.000 0.227 0.227
0.000 0.773 0.773
0.227 0.000 0.227
0.238 0.238 0.000
0.762 0.762 0.000
0.773 0.000 0.773
0.000 0.000 0.000
0.000 0.500 0.500
0.002 0.249 0.753
0.242 0.242 0.484
0.242 0.758 0.000
0.249 0.002 0.753
0.249 0.496 0.247
0.496 0.249 0.247
0.500 0.000 0.500
0.500 0.500 0.000
0.504 0.751 0.753
0.751 0.504 0.753
0.751 0.998 0.247
0.758 0.242 0.000
0.758 0.758 0.516
0.998 0.751 0.247
```

Calculated values
As for the space group: I4/mmm. For the formation energy without anion corrections, the calculation gives -1.629 eV/atom. The total DFT energy (no corrections) comes out at -0.4014 Ry per atom.

First-principles (PBE) data for a relaxed structure of LiVCd2Re, as listed in Alexandria.

```
LiVCd2Re
1.0
4.358 0.000 0.000
0.000 4.358 0.000
0.000 0.000 4.512
Li V Cd Re
1 1 2 1
direct
0.000 0.000 0.000
0.000 0.000 0.500
0.000 0.500 0.000
0.500 0.000 0.000
0.500 0.500 0.500
```

Calculated values
As for the space group: P4/mmm. The formation energy is 1.229 eV per atom. The total DFT energy (no corrections) comes out at -0.2817 Ry per atom. The polymorph energy (0 for the lowest one) comes out at 0.00 kJ per mole of atoms.

First-principles (PBE) data for a relaxed structure of MgAgBi, as listed in Alexandria.

```
MgAgBi
1.0
4.795 0.000 0.000
-2.394 4.168 0.000
-0.007 -2.761 7.477
Mg Ag Bi
2 2 2
direct
0.000 0.000 0.000
0.427 0.857 0.277
0.297 0.594 0.894
0.724 0.451 0.170
0.145 0.292 0.428
0.583 0.165 0.753
```

Calculated values
As for the space group: P1. The formation energy is -0.104 eV per atom. The total DFT energy (no corrections) comes out at -0.2116 Ry per atom.

First-principles (PBE) data for a relaxed structure of CeTaCo2, as listed in Alexandria.

```
CeTaCo2
1.0
3.043 0.000 0.000
0.000 3.043 0.000
0.000 0.000 7.068
Ce Ta Co
1 1 2
direct
0.000 0.000 0.000
0.000 0.000 0.500
0.500 0.500 0.302
0.500 0.500 0.698
```

Calculated values
As for the space group: P4/mmm. The formation energy is -0.173 eV per atom. The total DFT energy (no corrections) comes out at -0.6007 Ry per atom. The polymorph energy (0 for the lowest one) comes out at 0.00 kJ per mole of atoms.

First-principles (PBE) data for a relaxed structure of HgMo4Br, as listed in Alexandria.

```
HgMo4Br
1.0
0.000 3.801 3.801
3.801 0.000 3.801
3.801 3.801 0.000
Hg Mo Br
1 4 1
direct
0.000 0.000 0.000
0.133 0.622 0.622
0.622 0.133 0.622
0.622 0.622 0.133
0.622 0.622 0.622
0.250 0.250 0.250
```

Calculated values
As for the space group: F-43m. For the formation energy without anion corrections, the calculation gives 0.901 eV/atom. The total DFT energy (no corrections) comes out at -0.4887 Ry per atom.

First-principles (PBE) data for a relaxed structure of CsAgAsAu, as listed in Alexandria.

```
CsAgAsAu
1.0
4.807 0.000 0.000
0.000 2.898 4.823
0.000 -2.898 4.823
Cs Ag As Au
1 1 1 1
direct
0.000 0.000 0.000
0.500 0.336 0.336
0.500 0.610 0.610
0.000 0.670 0.670
```

Calculated values
As for the space group: Amm2. The formation energy is 0.024 eV per atom. The total DFT energy (no corrections) comes out at -0.2119 Ry per atom.

First-principles (PBE) data for a relaxed structure of KC3, as listed in Alexandria.

```
KC3
1.0
4.268 2.464 0.805
-4.268 2.464 0.805
0.000 -4.928 0.805
K C
1 3
direct
0.000 0.000 0.000
0.000 0.500 0.500
0.500 0.000 0.500
0.500 0.500 0.000
```

Calculated values
As for the space group: R-3m. The formation energy is 4.012 eV per atom. The total DFT energy (no corrections) comes out at -0.2337 Ry per atom. The polymorph energy (0 for the lowest one) comes out at 332.06 kJ per mole of atoms.

First-principles (PBE) data for a relaxed structure of CaTh3Tc, as listed in Alexandria.

```
CaTh3Tc
1.0
5.534 0.000 0.000
0.000 5.534 0.000
0.000 0.000 5.534
Ca Th Tc
1 3 1
direct
0.000 0.000 0.000
0.000 0.500 0.500
0.500 0.000 0.500
0.500 0.500 0.000
0.500 0.500 0.500
```

Calculated values
As for the space group: Pm-3m. The formation energy is 0.087 eV per atom. The total DFT energy (no corrections) comes out at -0.5026 Ry per atom.

First-principles (PBE) data for a relaxed structure of Nb3CoW, as listed in Alexandria.

```
Nb3CoW
1.0
4.543 0.000 0.000
0.000 4.543 0.000
0.000 0.000 4.543
Nb Co W
3 1 1
direct
0.000 0.000 0.500
0.000 0.500 0.000
0.500 0.000 0.000
0.000 0.000 0.000
0.500 0.500 0.500
```

Calculated values
As for the space group: Pm-3m. The formation energy is 0.958 eV per atom. The total DFT energy (no corrections) comes out at -0.6685 Ry per atom. The polymorph energy (0 for the lowest one) comes out at 0.00 kJ per mole of atoms.

First-principles (PBE) data for a relaxed structure of Cu8AuSe6, as listed in Alexandria.

```
Cu8AuSe6
1.0
3.376 1.949 7.072
-3.376 1.949 7.072
0.000 -3.898 7.072
Cu Au Se
8 1 6
direct
0.065 0.065 0.065
0.124 0.330 0.618
0.330 0.618 0.124
0.382 0.876 0.670
0.618 0.124 0.330
0.670 0.382 0.876
0.876 0.670 0.382
0.935 0.935 0.935
0.500 0.500 0.500
0.082 0.746 0.444
0.254 0.556 0.918
0.444 0.082 0.746
0.556 0.918 0.254
0.746 0.444 0.082
0.918 0.254 0.556
```

Calculated values
As for the space group: R-3. For the formation energy without anion corrections, the calculation gives -0.069 eV/atom. The total DFT energy (no corrections) comes out at -0.2841 Ry per atom.

First-principles (PBE) data for a relaxed structure of Ho3Zn4Au4, as listed in Alexandria.

```
Ho3Zn4Au4
1.0
3.557 0.000 0.000
0.007 4.398 0.000
1.775 2.156 14.217
Ho Zn Au
3 4 4
direct
0.000 0.000 0.000
0.143 0.643 0.713
0.857 0.357 0.287
0.257 0.259 0.484
0.403 0.905 0.191
0.597 0.095 0.809
0.743 0.741 0.516
0.315 0.814 0.373
0.450 0.450 0.099
0.550 0.550 0.901
0.685 0.186 0.627
```

Calculated values
As for the space group: P-1. The formation energy is -0.604 eV per atom. The total DFT energy (no corrections) comes out at -0.2578 Ry per atom.

First-principles (PBE) data for a relaxed structure of Rb2OsBr6N, as listed in Alexandria.

```
Rb2OsBr6N
1.0
-4.169 4.169 4.539
4.169 -4.169 4.539
4.169 4.169 -4.539
Rb Os Br N
2 1 6 1
direct
0.250 0.750 0.500
0.750 0.250 0.500
0.000 0.000 0.000
0.215 0.215 0.431
0.215 0.785 0.000
0.275 0.275 0.000
0.725 0.725 0.000
0.785 0.215 0.000
0.785 0.785 0.569
0.500 0.500 0.000
```

Calculated values
As for the space group: I4/mmm. For the formation energy without anion corrections, the calculation gives -0.194 eV/atom. The total DFT energy (no corrections) comes out at -0.2460 Ry per atom.